No. 1
Density functional theory data (GGA-PBE) for an optimized crystal structure of In5Hg6.

The space group is Immm (No. 71) and the conventional cell measures 4.910, 8.266 and 14.827 Å, with angles of 90.00, 90.00 and 90.00 degrees. Symmetry generates all atoms from In at (0.000, 0.000, 0.000), In at (0.000, 0.000, 0.332), In at (0.000, 0.500, 0.331), Hg at (0.000, 0.228, 0.500) and Hg at (0.000, 0.258, 0.159).

The offset from the most stable computed form comes out at 0 meV per atom. Its formation enthalpy at 0 K is 6 kJ/mol of formula units. As for the calculated total energy: -15.44 eV per formula unit. The density of states at the Fermi level is 0.278 states/eV per atom. The total magnetization is 0.000 μB/atom.

***

No. 2
Density functional theory data (GGA-PBE) for an optimized crystal structure of Pm5Tm2Tl4.

The space group is C2/m (No. 12) and the conventional cell measures 24.599, 3.500 and 8.087 Å, with angles of 90.00, 93.07 and 90.00 degrees. Symmetry generates all atoms from Pm at (0.000, 0.000, 0.000), Pm at (0.141, 0.500, 0.125), Pm at (0.233, 0.500, 0.788), Tm at (0.090, 0.500, 0.719), Tl at (0.038, 0.500, 0.352) and Tl at (0.165, 0.000, 0.473).

Its formation enthalpy at 0 K is -35 kJ/mol of formula units. As for the calculated total energy: -42.53 eV per formula unit. The density of states at the Fermi level is 1.280 states/eV per atom. The total magnetization is 0.000 μB/atom.

***

No. 3
Density functional theory data (GGA-PBE) for an optimized crystal structure of La2HfHN.

The space group is P4/mmm (No. 123) and the conventional cell measures 4.941, 4.941 and 3.916 Å, with angles of 90.00, 90.00 and 90.00 degrees. Symmetry generates all atoms from La at (0.000, 0.500, 0.000), Hf at (0.000, 0.000, 0.500), H at (0.000, 0.000, 0.000) and N at (0.500, 0.500, 0.500).

As for the calculated total energy: -29.42 eV per formula unit. The density of states at the Fermi level is 0.887 states/eV per atom. The total magnetization is 0.000 μB/atom.